# LaTmMgMn | Alexandria | PBE-GGA | relaxed
data_LaTmMgMn
_chemical_formula_sum 'La4 Tm4 Mg4 Mn4'
_space_group_name_H-M_alt 'F -4 3 m'
_space_group_IT_number 216
_space_group_name_Hall 'F -4 2 3'
_cell_length_a 7.459
_cell_length_b 7.459
_cell_length_c 7.459
_cell_angle_alpha 90.00
_cell_angle_beta 90.00
_cell_angle_gamma 90.00
loop_
_atom_site_label
_atom_site_fract_x
_atom_site_fract_y
_atom_site_fract_z
La1 0.000 0.000 0.000
Tm1 0.000 0.000 0.500
Mg1 0.250 0.250 0.750
Mn1 0.250 0.250 0.250
# Energy of formation, eV/atom: 0.11
# DFT total energy, eV for the cell shown: -78.85

***

# AcNd6Ho4 | Alexandria | PBE-GGA | relaxed
data_AcNd6Ho4
_chemical_formula_sum 'Ac2 Nd12 Ho8'
_space_group_name_H-M_alt 'I -4 2 m'
_space_group_IT_number 121
_space_group_name_Hall 'I -4 2'
_cell_length_a 6.636
_cell_length_b 6.636
_cell_length_c 17.769
_cell_angle_alpha 90.00
_cell_angle_beta 90.00
_cell_angle_gamma 90.00
loop_
_atom_site_label
_atom_site_fract_x
_atom_site_fract_y
_atom_site_fract_z
Ac1 0.000 0.000 0.000
Nd1 0.000 0.500 0.000
Nd2 0.180 0.180 0.366
Ho1 0.187 0.187 0.179
# Energy of formation, eV/atom: 0.33
# Distance to the lowest polymorph of the same formula, meV per atom: 0
# DFT total energy, eV for the cell shown: -94.88

***

# KMg14Cu | Alexandria | PBE-GGA | relaxed
data_KMg14Cu
_chemical_formula_sum 'K2 Mg28 Cu2'
_space_group_name_H-M_alt 'A m m 2'
_space_group_IT_number 38
_space_group_name_Hall 'A 2 -2'
_cell_length_a 10.500
_cell_length_b 6.354
_cell_length_c 11.316
_cell_angle_alpha 90.00
_cell_angle_beta 90.00
_cell_angle_gamma 90.00
loop_
_atom_site_label
_atom_site_fract_x
_atom_site_fract_y
_atom_site_fract_z
K1 0.000 0.000 0.000
Mg1 0.000 0.241 0.251
Mg2 0.222 0.000 0.636
Mg3 0.253 0.244 0.394
Mg4 0.265 0.000 0.151
Mg5 0.500 0.000 0.482
Mg6 0.500 0.000 0.979
Mg7 0.500 0.244 0.731
Cu1 0.000 0.000 0.460
# Energy of formation, eV/atom: 0.11
# Distance to the lowest polymorph of the same formula, meV per atom: 0
# DFT total energy, eV for the cell shown: -51.67

***

# Tc7Ru6 | Alexandria | PBE-GGA | relaxed
data_Tc7Ru6
_chemical_formula_sum 'Tc21 Ru18'
_space_group_name_H-M_alt 'R -3 m'
_space_group_IT_number 166
_space_group_name_Hall '-R 3 2"'
_cell_length_a 4.9930
_cell_length_b 4.9930
_cell_length_c 26.7588
_cell_angle_alpha 90.00
_cell_angle_beta 90.00
_cell_angle_gamma 120.00
loop_
_atom_site_label
_atom_site_fract_x
_atom_site_fract_y
_atom_site_fract_z
Tc1 0.0000 0.0000 0.0000
Tc2 0.0062 0.5031 0.4125
Ru1 0.0000 0.0000 0.1633
Ru2 0.0000 0.0000 0.3495
Ru3 0.0000 0.0000 0.4543
# Energy of formation, eV/atom: 0.22
# DFT total energy, eV for the cell shown: -376.24

***

# IrSeS2Cl | Alexandria | PBE-GGA | relaxed
data_IrSeS2Cl
_chemical_formula_sum 'Ir1 Se1 S2 Cl1'
_space_group_name_H-M_alt 'P 4/m m m'
_space_group_IT_number 123
_space_group_name_Hall '-P 4 2'
_cell_length_a 4.877
_cell_length_b 4.877
_cell_length_c 4.648
_cell_angle_alpha 90.00
_cell_angle_beta 90.00
_cell_angle_gamma 90.00
loop_
_atom_site_label
_atom_site_fract_x
_atom_site_fract_y
_atom_site_fract_z
Ir1 0.000 0.000 0.000
Se1 0.500 0.500 0.500
S1 0.000 0.500 0.500
Cl1 0.500 0.500 0.000
# Distance to the lowest polymorph of the same formula, meV per atom: 843
# DFT total energy, eV for the cell shown: -15.56
# Uncorrected formation energy, eV/atom: 1.38

***

# NiAsS | Alexandria | PBE-GGA | relaxed
data_NiAsS
_chemical_formula_sum 'Ni16 As16 S16'
_space_group_name_H-M_alt 'F d d 2'
_space_group_IT_number 43
_space_group_name_Hall 'F 2 -2d'
_cell_length_a 9.359
_cell_length_b 11.293
_cell_length_c 7.227
_cell_angle_alpha 90.00
_cell_angle_beta 90.00
_cell_angle_gamma 90.00
loop_
_atom_site_label
_atom_site_fract_x
_atom_site_fract_y
_atom_site_fract_z
Ni1 0.003 0.240 0.000
As1 0.103 0.067 0.503
S1 0.101 0.057 0.997
# DFT total energy, eV for the cell shown: -242.66
# Uncorrected formation energy, eV/atom: -0.20

***

# HfInO2 | Alexandria | PBE-GGA | relaxed
data_HfInO2
_chemical_formula_sum 'Hf3 In3 O6'
_space_group_name_H-M_alt 'R -3 m'
_space_group_IT_number 166
_space_group_name_Hall '-R 3 2"'
_cell_length_a 3.4350
_cell_length_b 3.4350
_cell_length_c 18.8879
_cell_angle_alpha 90.00
_cell_angle_beta 90.00
_cell_angle_gamma 120.00
loop_
_atom_site_label
_atom_site_fract_x
_atom_site_fract_y
_atom_site_fract_z
Hf1 0.0000 0.0000 0.0000
In1 0.0000 0.0000 0.5000
O1 0.0000 0.0000 0.1089
# DFT total energy, eV for the cell shown: -85.41
# Uncorrected formation energy, eV/atom: -1.47

***

# MgReOs2 | Alexandria | PBE-GGA | relaxed
data_MgReOs2
_chemical_formula_sum 'Mg1 Re1 Os2'
_space_group_name_H-M_alt 'P 4/m m m'
_space_group_IT_number 123
_space_group_name_Hall '-P 4 2'
_cell_length_a 4.456
_cell_length_b 4.456
_cell_length_c 2.984
_cell_angle_alpha 90.00
_cell_angle_beta 90.00
_cell_angle_gamma 90.00
loop_
_atom_site_label
_atom_site_fract_x
_atom_site_fract_y
_atom_site_fract_z
Mg1 0.000 0.000 0.000
Re1 0.500 0.500 0.000
Os1 0.000 0.500 0.500
# Energy of formation, eV/atom: 0.27
# DFT total energy, eV for the cell shown: -35.42

***

# YErAlHg | Alexandria | PBE-GGA | relaxed
data_YErAlHg
_chemical_formula_sum 'Y1 Er1 Al1 Hg1'
_space_group_name_H-M_alt 'P 4 m m'
_space_group_IT_number 99
_space_group_name_Hall 'P 4 -2'
_cell_length_a 3.613
_cell_length_b 3.613
_cell_length_c 7.470
_cell_angle_alpha 90.00
_cell_angle_beta 90.00
_cell_angle_gamma 90.00
loop_
_atom_site_label
_atom_site_fract_x
_atom_site_fract_y
_atom_site_fract_z
Y1 0.000 0.000 0.000
Er1 0.000 0.000 0.518
Al1 0.500 0.500 0.756
Hg1 0.500 0.500 0.267
# Energy of formation, eV/atom: -0.45
# Distance to the lowest polymorph of the same formula, meV per atom: 0
# DFT total energy, eV for the cell shown: -16.85

***

# Ga2ClO | Alexandria | PBE-GGA | relaxed
data_Ga2ClO
_chemical_formula_sum 'Ga8 Cl4 O4'
_space_group_name_H-M_alt 'F m -3 m'
_space_group_IT_number 225
_space_group_name_Hall '-F 4 2 3'
_cell_length_a 6.481
_cell_length_b 6.481
_cell_length_c 6.481
_cell_angle_alpha 90.00
_cell_angle_beta 90.00
_cell_angle_gamma 90.00
loop_
_atom_site_label
_atom_site_fract_x
_atom_site_fract_y
_atom_site_fract_z
Ga1 0.250 0.250 0.250
Cl1 0.000 0.000 0.000
O1 0.000 0.000 0.500
# Distance to the lowest polymorph of the same formula, meV per atom: 505
# DFT total energy, eV for the cell shown: -53.55
# Uncorrected formation energy, eV/atom: -0.13

***

# AcPm5Sb4 | Alexandria | PBE-GGA | relaxed
data_AcPm5Sb4
_chemical_formula_sum 'Ac2 Pm10 Sb8'
_space_group_name_H-M_alt 'P m m n'
_space_group_IT_number 59
_cell_length_a 10.038
_cell_length_b 10.693
_cell_length_c 7.044
_cell_angle_alpha 90.00
_cell_angle_beta 90.00
_cell_angle_gamma 90.00
loop_
_space_group_symop_operation_xyz
'x,y,z'
'-x,-y,-z'
'-x+1/2,-y+1/2,z'
'x+1/2,y+1/2,-z'
'x+1/2,-y,-z'
'-x+1/2,y,z'
'-x,y+1/2,-z'
'x,-y+1/2,z'
loop_
_atom_site_label
_atom_site_fract_x
_atom_site_fract_y
_atom_site_fract_z
Ac1 0.250 0.250 0.089
Pm1 0.006 0.530 0.256
Pm2 0.250 0.750 0.669
Sb1 0.048 0.250 0.465
Sb2 0.250 0.550 0.982
# DFT total energy, eV for the cell shown: -101.10
# Uncorrected formation energy, eV/atom: -0.62

***

# Nb2HPdRh | Alexandria | PBE-GGA | relaxed
data_Nb2HPdRh
_chemical_formula_sum 'Nb2 H1 Pd1 Rh1'
_space_group_name_H-M_alt 'P 4/m m m'
_space_group_IT_number 123
_space_group_name_Hall '-P 4 2'
_cell_length_a 4.065
_cell_length_b 4.065
_cell_length_c 4.062
_cell_angle_alpha 90.00
_cell_angle_beta 90.00
_cell_angle_gamma 90.00
loop_
_atom_site_label
_atom_site_fract_x
_atom_site_fract_y
_atom_site_fract_z
Nb1 0.000 0.500 0.000
H1 0.000 0.000 0.000
Pd1 0.000 0.000 0.500
Rh1 0.500 0.500 0.500
# Distance to the lowest polymorph of the same formula, meV per atom: 18
# DFT total energy, eV for the cell shown: -37.50

***

# SrGdAlGa | Alexandria | PBE-GGA | relaxed
data_SrGdAlGa
_chemical_formula_sum 'Sr4 Gd4 Al4 Ga4'
_space_group_name_H-M_alt 'F -4 3 m'
_space_group_IT_number 216
_space_group_name_Hall 'F -4 2 3'
_cell_length_a 7.533
_cell_length_b 7.533
_cell_length_c 7.533
_cell_angle_alpha 90.00
_cell_angle_beta 90.00
_cell_angle_gamma 90.00
loop_
_atom_site_label
_atom_site_fract_x
_atom_site_fract_y
_atom_site_fract_z
Sr1 0.000 0.000 0.000
Gd1 0.000 0.000 0.500
Al1 0.250 0.250 0.250
Ga1 0.250 0.250 0.750
# Energy of formation, eV/atom: -0.28
# DFT total energy, eV for the cell shown: -94.64

***

# ErNp2Te2Se2 | Alexandria | PBE-GGA | relaxed
data_ErNp2Te2Se2
_chemical_formula_sum 'Er2 Np4 Te4 Se4'
_space_group_name_H-M_alt 'I 4/m m m'
_space_group_IT_number 139
_space_group_name_Hall '-I 4 2'
_cell_length_a 5.275
_cell_length_b 5.275
_cell_length_c 15.660
_cell_angle_alpha 90.00
_cell_angle_beta 90.00
_cell_angle_gamma 90.00
loop_
_atom_site_label
_atom_site_fract_x
_atom_site_fract_y
_atom_site_fract_z
Er1 0.000 0.000 0.000
Np1 0.000 0.000 0.385
Te1 0.000 0.000 0.189
Se1 0.000 0.500 0.000
# DFT total energy, eV for the cell shown: -99.03
# Uncorrected formation energy, eV/atom: -0.83

***

# BeCuAs | Alexandria | PBE-GGA | relaxed
data_BeCuAs
_chemical_formula_sum 'Be4 Cu4 As4'
_space_group_name_H-M_alt 'C m c 21'
_space_group_IT_number 36
_space_group_name_Hall 'C 2c -2'
_cell_length_a 3.950
_cell_length_b 6.829
_cell_length_c 6.701
_cell_angle_alpha 90.00
_cell_angle_beta 90.00
_cell_angle_gamma 90.00
loop_
_atom_site_label
_atom_site_fract_x
_atom_site_fract_y
_atom_site_fract_z
Be1 0.000 0.183 0.000
Cu1 0.000 0.286 0.677
As1 0.000 0.124 0.363
# Energy of formation, eV/atom: -0.02
# DFT total energy, eV for the cell shown: -50.08

***

# K2Ba2Na | Alexandria | PBE-GGA | relaxed
data_K2Ba2Na
_chemical_formula_sum 'K4 Ba4 Na2'
_space_group_name_H-M_alt 'P 4/m b m'
_space_group_IT_number 127
_space_group_name_Hall '-P 4 2ab'
_cell_length_a 9.373
_cell_length_b 9.373
_cell_length_c 7.146
_cell_angle_alpha 90.00
_cell_angle_beta 90.00
_cell_angle_gamma 90.00
loop_
_atom_site_label
_atom_site_fract_x
_atom_site_fract_y
_atom_site_fract_z
K1 0.141 0.359 0.000
Ba1 0.177 0.677 0.500
Na1 0.000 0.000 0.000
# Energy of formation, eV/atom: 0.15
# Distance to the lowest polymorph of the same formula, meV per atom: 91
# DFT total energy, eV for the cell shown: -13.18

***

# Ga2SiPd5 | Alexandria | PBE-GGA | relaxed
data_Ga2SiPd5
_chemical_formula_sum 'Ga8 Si4 Pd20'
_space_group_name_H-M_alt 'C m c m'
_space_group_IT_number 63
_space_group_name_Hall '-C 2c 2'
_cell_length_a 4.010
_cell_length_b 13.985
_cell_length_c 11.633
_cell_angle_alpha 90.00
_cell_angle_beta 90.00
_cell_angle_gamma 90.00
loop_
_atom_site_label
_atom_site_fract_x
_atom_site_fract_y
_atom_site_fract_z
Ga1 0.000 0.124 0.082
Si1 0.000 0.169 0.750
Pd1 0.000 0.049 0.612
Pd2 0.000 0.237 0.250
Pd3 0.000 0.259 0.579
# DFT total energy, eV for the cell shown: -158.95
# Uncorrected formation energy, eV/atom: -0.29

***

# Na2CuIO | Alexandria | PBE-GGA | relaxed
data_Na2CuIO
_chemical_formula_sum 'Na2 Cu1 I1 O1'
_space_group_name_H-M_alt 'P 4/m m m'
_space_group_IT_number 123
_space_group_name_Hall '-P 4 2'
_cell_length_a 5.130
_cell_length_b 5.130
_cell_length_c 3.777
_cell_angle_alpha 90.00
_cell_angle_beta 90.00
_cell_angle_gamma 90.00
loop_
_atom_site_label
_atom_site_fract_x
_atom_site_fract_y
_atom_site_fract_z
Na1 0.000 0.500 0.000
Cu1 0.000 0.000 0.500
I1 0.500 0.500 0.500
O1 0.000 0.000 0.000
# DFT total energy, eV for the cell shown: -18.08
# Uncorrected formation energy, eV/atom: -0.97

***

# Tb2Ga3Au2 | Alexandria | PBE-GGA | relaxed
data_Tb2Ga3Au2
_chemical_formula_sum 'Tb8 Ga12 Au8'
_space_group_name_H-M_alt 'C m c m'
_space_group_IT_number 63
_space_group_name_Hall '-C 2c 2'
_cell_length_a 4.243
_cell_length_b 18.835
_cell_length_c 7.290
_cell_angle_alpha 90.00
_cell_angle_beta 90.00
_cell_angle_gamma 90.00
loop_
_atom_site_label
_atom_site_fract_x
_atom_site_fract_y
_atom_site_fract_z
Tb1 0.000 0.057 0.250
Tb2 0.000 0.156 0.750
Ga1 0.000 0.227 0.250
Ga2 0.000 0.444 0.079
Au1 0.000 0.316 0.551
# Energy of formation, eV/atom: -0.67
# Distance to the lowest polymorph of the same formula, meV per atom: 5
# DFT total energy, eV for the cell shown: -118.29

***

# CeIn2Ag | Alexandria | PBE-GGA | relaxed
data_CeIn2Ag
_chemical_formula_sum 'Ce2 In4 Ag2'
_space_group_name_H-M_alt 'P 4/n m m'
_space_group_IT_number 129
_cell_length_a 5.115
_cell_length_b 5.115
_cell_length_c 7.532
_cell_angle_alpha 90.00
_cell_angle_beta 90.00
_cell_angle_gamma 90.00
loop_
_space_group_symop_operation_xyz
'x,y,z'
'-x,-y,-z'
'-y+1/2,x,z'
'y+1/2,-x,-z'
'-x+1/2,-y+1/2,z'
'x+1/2,y+1/2,-z'
'y,-x+1/2,z'
'-y,x+1/2,-z'
'x+1/2,-y,-z'
'-x+1/2,y,z'
'-y,-x,-z'
'y,x,z'
'-x,y+1/2,-z'
'x,-y+1/2,z'
'y+1/2,x+1/2,-z'
'-y+1/2,-x+1/2,z'
loop_
_atom_site_label
_atom_site_fract_x
_atom_site_fract_y
_atom_site_fract_z
Ce1 0.250 0.250 0.238
In1 0.250 0.250 0.778
In2 0.250 0.750 0.500
Ag1 0.250 0.750 0.000
# Energy of formation, eV/atom: -0.25
# DFT total energy, eV for the cell shown: -30.50

***

# TiGeRh | Alexandria | PBE-GGA | relaxed
data_TiGeRh
_chemical_formula_sum 'Ti2 Ge2 Rh2'
_space_group_name_H-M_alt 'I 4 m m'
_space_group_IT_number 107
_space_group_name_Hall 'I 4 -2'
_cell_length_a 2.987
_cell_length_b 2.987
_cell_length_c 10.041
_cell_angle_alpha 90.00
_cell_angle_beta 90.00
_cell_angle_gamma 90.00
loop_
_atom_site_label
_atom_site_fract_x
_atom_site_fract_y
_atom_site_fract_z
Ti1 0.000 0.000 0.000
Ge1 0.000 0.000 0.673
Rh1 0.000 0.000 0.322
# Energy of formation, eV/atom: -0.58
# DFT total energy, eV for the cell shown: -43.18

***

# HfFeCo2 | Alexandria | PBE-GGA | relaxed
data_HfFeCo2
_chemical_formula_sum 'Hf1 Fe1 Co2'
_space_group_name_H-M_alt 'P 4/m m m'
_space_group_IT_number 123
_space_group_name_Hall '-P 4 2'
_cell_length_a 3.047
_cell_length_b 3.047
_cell_length_c 5.881
_cell_angle_alpha 90.00
_cell_angle_beta 90.00
_cell_angle_gamma 90.00
loop_
_atom_site_label
_atom_site_fract_x
_atom_site_fract_y
_atom_site_fract_z
Hf1 0.000 0.000 0.000
Fe1 0.000 0.000 0.500
Co1 0.500 0.500 0.277
# Energy of formation, eV/atom: -0.15
# DFT total energy, eV for the cell shown: -33.22

***

# La2PbCl | Alexandria | PBE-GGA | relaxed
data_La2PbCl
_chemical_formula_sum 'La6 Pb3 Cl3'
_space_group_name_H-M_alt 'R 3 m'
_space_group_IT_number 160
_space_group_name_Hall 'R 3 -2"'
_cell_length_a 4.4716
_cell_length_b 4.4716
_cell_length_c 23.0771
_cell_angle_alpha 90.00
_cell_angle_beta 90.00
_cell_angle_gamma 120.00
loop_
_atom_site_label
_atom_site_fract_x
_atom_site_fract_y
_atom_site_fract_z
La1 0.0000 0.0000 0.0000
La2 0.0000 0.0000 0.1729
Pb1 0.0000 0.0000 0.5871
Cl1 0.0000 0.0000 0.4156
# Distance to the lowest polymorph of the same formula, meV per atom: 125
# DFT total energy, eV for the cell shown: -58.01
# Uncorrected formation energy, eV/atom: -0.98

***

# Cd2BiS4 | Alexandria | PBE-GGA | relaxed
data_Cd2BiS4
_chemical_formula_sum 'Cd8 Bi4 S16'
_space_group_name_H-M_alt 'C m c m'
_space_group_IT_number 63
_space_group_name_Hall '-C 2c 2'
_cell_length_a 3.971
_cell_length_b 13.113
_cell_length_c 12.077
_cell_angle_alpha 90.00
_cell_angle_beta 90.00
_cell_angle_gamma 90.00
loop_
_atom_site_label
_atom_site_fract_x
_atom_site_fract_y
_atom_site_fract_z
Cd1 0.000 0.134 0.062
Bi1 0.000 0.400 0.250
S1 0.000 0.044 0.250
S2 0.000 0.225 0.626
S3 0.000 0.500 0.000
# DFT total energy, eV for the cell shown: -96.89
# Uncorrected formation energy, eV/atom: -0.29